No. 1
This record from Alexandria describes a geometry-optimized Mg4Ag structure. The functional is GGA-PBE.

Calculated values
ΔE_f ... 0.204 eV/atom
Polymorph energy (0 for the lowest one) ... 0.293 eV per atom
Crystal system ... tetragonal

abc: 3.8506 3.8506 15.7589
angles: 90.00 90.00 90.00
Space group I4/mmm (No. 139)
Asymmetric unit:
Mg: 0.0000 0.0000 0.0921 [4 per cell]
Mg: 0.0000 0.5000 0.2500 [4 per cell]
Ag: 0.0000 0.0000 0.5000 [2 per cell]

No. 2
This record from Alexandria describes a geometry-optimized Mg4Ag structure. The functional is GGA-PBE.

Calculated values
ΔE_f ... -0.034 eV/atom
Polymorph energy (0 for the lowest one) ... 0.055 eV per atom
Crystal system ... orthorhombic

abc: 4.7179 5.9730 14.7587
angles: 90.00 90.00 90.00
Space group Imma (No. 74)
Asymmetric unit:
Mg: 0.0000 0.0000 0.0000 [4 per cell]
Mg: 0.0000 0.0039 0.1961 [8 per cell]
Mg: 0.0000 0.2500 0.5985 [4 per cell]
Ag: 0.0000 0.2500 0.3845 [4 per cell]

No. 3
This record from Alexandria describes a geometry-optimized Mg26Ag7 structure. The functional is GGA-PBE.

Calculated values
ΔE_f ... -0.116 eV/atom
Crystal system ... cubic

abc: 17.6935 17.6935 17.6935
angles: 90.00 90.00 90.00
Space group Fm-3 (No. 202)
Asymmetric unit:
Mg: 0.0000 0.0000 0.2126 [24 per cell]
Mg: 0.0000 0.1389 0.4120 [48 per cell]
Mg: 0.0937 0.0937 0.0937 [32 per cell]
Mg: 0.0956 0.1541 0.2612 [96 per cell]
Mg: 0.2500 0.2500 0.2500 [8 per cell]
Ag: 0.0000 0.0000 0.0000 [4 per cell]
Ag: 0.0000 0.0000 0.5000 [4 per cell]
Ag: 0.0000 0.2240 0.1579 [48 per cell]

No. 4
This record from Alexandria describes a geometry-optimized Mg2Ag5 structure. The functional is GGA-PBE.

Calculated values
ΔE_f ... -0.116 eV/atom
Polymorph energy (0 for the lowest one) ... 0.029 eV per atom
Crystal system ... orthorhombic

abc: 7.0929 12.8316 5.7916
angles: 90.00 90.00 90.00
Space group Ibam (No. 72)
Asymmetric unit:
Mg: 0.1980 0.1086 0.0000 [8 per cell]
Ag: 0.0000 0.2721 0.2500 [8 per cell]
Ag: 0.0000 0.5000 0.2500 [4 per cell]
Ag: 0.2078 0.1157 0.5000 [8 per cell]